! LiPaNO PBE optimized geometry; values from VASP
! - Energy above the lowest structure with this stoichiometry: 36 meV/atom
! - Spin magnetization: 2.0 μB/cell
&SYSTEM
  ibrav = 0, nat = 8, ntyp = 4
/
ATOMIC_SPECIES
Li 6.94 Li.upf
N 14.01 N.upf
O 16.00 O.upf
Pa 231.04 Pa.upf
ATOMIC_POSITIONS angstrom
Li -2.688 -0.121 -4.272
Li -4.843 2.472 -1.928
N -1.199 -0.540 -2.948
N -3.548 1.164 -2.800
O -1.436 -1.187 0.088
O -4.200 -1.385 -4.464
Pa -3.235 -0.562 -1.256
Pa -5.810 0.103 -3.674
CELL_PARAMETERS angstrom
-0.446 -2.043 -5.049
-1.822 -2.618 1.220
-4.793 2.972 -0.779